[1]
The following is a DFT calculation (GGA-PBE) of an optimized crystal structure of Ba2Ge2Br.

a b c (Å): 9.3841 9.3841 9.3841
angles (deg): 28.71 28.71 28.71
Closest atoms and distances in Å follow each position.
Sites, in units of the cell vectors:
Ba1 0.0821 0.0821 0.0821  6 Ge 3.45-3.51, 3 Br 3.52
Ba2 0.9179 0.9179 0.9179  6 Ge 3.45-3.51, 3 Br 3.52
Ge1 0.3316 0.3316 0.3316  3 Ge 2.69
Ge2 0.6684 0.6684 0.6684  3 Ge 2.69
Br1 0.5000 0.5000 0.5000  6 Ba 3.52

Values from the calculation:
size of the total moment = 0.000 μB per formula unit
total energy = -4.00 eV per atom
space-group type = R-3m (166)
offset from the most stable computed form = 0 meV per atom


[2]
The following is a DFT calculation (GGA-PBE) of an optimized crystal structure of Tm4Cu2Os.

a b c (Å): 8.2685 8.2685 8.2685
angles (deg): 33.78 33.78 33.78
Closest atoms and distances in Å follow each position.
Sites, in units of the cell vectors:
Tm1 0.1227 0.1227 0.1227  1 Os 2.87, 4 Cu 2.93-3.01
Tm2 0.3742 0.3742 0.3742  4 Cu 2.86-2.93, 3 Os 2.93
Tm3 0.6258 0.6258 0.6258  4 Cu 2.86-2.93, 3 Os 2.93
Tm4 0.8773 0.8773 0.8773  1 Os 2.87, 4 Cu 2.93-3.01
Cu1 0.2516 0.2516 0.2516  8 Tm 2.86-3.01
Cu2 0.7484 0.7484 0.7484  8 Tm 2.86-3.01
Os1 0.0000 0.0000 0.0000  8 Tm 2.87-2.93

Values from the calculation:
size of the total moment = 0.000 μB per formula unit
total energy = -5.55 eV per atom
calculated formation energy = -1.56 eV/f.u.
space-group type = R-3m (166)


[3]
The following is a DFT calculation (GGA-PBE) of an optimized crystal structure of Na2MgPO4.

a b c (Å): 5.5853 5.5853 5.5853
angles (deg): 124.36 124.36 82.61
Closest atoms and distances in Å follow each position.
Sites, in units of the cell vectors:
Na1 0.0000 0.0000 0.0000  4 O 2.53
Na2 0.7500 0.2500 0.5000  4 O 2.61
Mg1 0.5000 0.5000 0.0000  4 O 2.03
P1 0.2500 0.7500 0.5000  4 O 1.58
O1 0.2297 0.6459 0.1601  1 P 1.58
O2 0.3541 0.5143 0.5838  1 P 1.58
O3 0.4857 0.0695 0.8399  1 P 1.58
O4 0.9305 0.7703 0.4162  1 P 1.58

Values from the calculation:
size of the total moment = 0.000 μB per formula unit
total energy = -5.70 eV per atom
space-group type = I-4 (82)